(1)
VASP calculation (PBE-GGA) on a relaxed structure of Sn5Sb3Te12.

Cell: 15.6600 15.6600 15.6600 Å, 109.47 109.47 109.47°
Closest atoms and distances in Å follow each position.
Sites, in units of the cell vectors:
1 Sn 0.0000 0.0000 0.0000  6 Te 3.08
2 Sn 0.0000 0.0000 0.5000  6 Te 3.08
3 Sn 0.0000 0.5000 0.0000  6 Te 3.08
4 Sn 0.0000 0.5000 0.5000  6 Te 3.08
5 Sn 0.1250 0.7500 0.8750  4 Te 2.86
6 Sn 0.1250 0.8750 0.2500  4 Te 2.86
7 Sn 0.2500 0.1250 0.8750  4 Te 2.86
8 Sn 0.2500 0.6250 0.3750  4 Te 2.86
9 Sn 0.3750 0.2500 0.6250  4 Te 2.86
10 Sn 0.3750 0.6250 0.7500  4 Te 2.86
11 Sn 0.5000 0.0000 0.0000  6 Te 3.08
12 Sn 0.5000 0.0000 0.5000  6 Te 3.08
13 Sn 0.5000 0.5000 0.0000  6 Te 3.08
14 Sn 0.5000 0.5000 0.5000  6 Te 3.08
15 Sn 0.6250 0.3750 0.2500  4 Te 2.86
16 Sn 0.6250 0.7500 0.3750  4 Te 2.86
17 Sn 0.7500 0.3750 0.6250  4 Te 2.86
18 Sn 0.7500 0.8750 0.1250  4 Te 2.86
19 Sn 0.8750 0.1250 0.7500  4 Te 2.86
20 Sn 0.8750 0.2500 0.1250  4 Te 2.86
21 Sb 0.1250 0.2500 0.3750  8 Te 3.32-3.40
22 Sb 0.1250 0.3750 0.7500  8 Te 3.32-3.40
23 Sb 0.2500 0.3750 0.1250  8 Te 3.32-3.40
24 Sb 0.2500 0.8750 0.6250  8 Te 3.32-3.40
25 Sb 0.3750 0.1250 0.2500  8 Te 3.32-3.40
26 Sb 0.3750 0.7500 0.1250  8 Te 3.32-3.40
27 Sb 0.6250 0.2500 0.8750  8 Te 3.32-3.40
28 Sb 0.6250 0.8750 0.7500  8 Te 3.32-3.40
29 Sb 0.7500 0.1250 0.3750  8 Te 3.32-3.40
30 Sb 0.7500 0.6250 0.8750  8 Te 3.32-3.40
31 Sb 0.8750 0.6250 0.2500  8 Te 3.32-3.40
32 Sb 0.8750 0.7500 0.6250  8 Te 3.32-3.40
33 Te 0.0493 0.2237 0.1330  2 Sn 2.86-3.08
34 Te 0.0493 0.3257 0.9164  2 Sn 2.86-3.08
35 Te 0.0836 0.6330 0.4093  2 Sn 2.86-3.08
36 Te 0.0836 0.9507 0.6743  2 Sn 2.86-3.08
37 Te 0.0907 0.7237 0.6743  2 Sn 2.86-3.08
38 Te 0.0907 0.8670 0.4164  2 Sn 2.86-3.08
39 Te 0.1330 0.0493 0.2237  2 Sn 2.86-3.08
40 Te 0.1330 0.5836 0.9093  2 Sn 2.86-3.08
41 Te 0.1743 0.2237 0.5907  2 Sn 2.86-3.08
42 Te 0.1743 0.4507 0.5836  2 Sn 2.86-3.08
43 Te 0.2237 0.1330 0.0493  2 Sn 2.86-3.08
44 Te 0.2237 0.5907 0.1743  2 Sn 2.86-3.08
45 Te 0.2763 0.3257 0.9093  2 Sn 2.86-3.08
46 Te 0.2763 0.4507 0.3670  2 Sn 2.86-3.08
47 Te 0.3257 0.9093 0.2763  2 Sn 2.86-3.08
48 Te 0.3257 0.9164 0.0493  2 Sn 2.86-3.08
49 Te 0.3670 0.2763 0.4507  2 Sn 2.86-3.08
50 Te 0.3670 0.5907 0.9164  2 Sn 2.86-3.08
51 Te 0.4093 0.0836 0.6330  2 Sn 2.86-3.08
52 Te 0.4093 0.8257 0.7763  2 Sn 2.86-3.08
53 Te 0.4164 0.0907 0.8670  2 Sn 2.86-3.08
54 Te 0.4164 0.8257 0.5493  2 Sn 2.86-3.08
55 Te 0.4507 0.3670 0.2763  2 Sn 2.86-3.08
56 Te 0.4507 0.5836 0.1743  2 Sn 2.86-3.08
57 Te 0.5493 0.4164 0.8257  2 Sn 2.86-3.08
58 Te 0.5493 0.6330 0.7237  2 Sn 2.86-3.08
59 Te 0.5836 0.1743 0.4507  2 Sn 2.86-3.08
60 Te 0.5836 0.9093 0.1330  2 Sn 2.86-3.08
61 Te 0.5907 0.1743 0.2237  2 Sn 2.86-3.08
62 Te 0.5907 0.9164 0.3670  2 Sn 2.86-3.08
63 Te 0.6330 0.4093 0.0836  2 Sn 2.86-3.08
64 Te 0.6330 0.7237 0.5493  2 Sn 2.86-3.08
65 Te 0.6743 0.0836 0.9507  2 Sn 2.86-3.08
66 Te 0.6743 0.0907 0.7237  2 Sn 2.86-3.08
67 Te 0.7237 0.5493 0.6330  2 Sn 2.86-3.08
68 Te 0.7237 0.6743 0.0907  2 Sn 2.86-3.08
69 Te 0.7763 0.4093 0.8257  2 Sn 2.86-3.08
70 Te 0.7763 0.8670 0.9507  2 Sn 2.86-3.08
71 Te 0.8257 0.5493 0.4164  2 Sn 2.86-3.08
72 Te 0.8257 0.7763 0.4093  2 Sn 2.86-3.08
73 Te 0.8670 0.4164 0.0907  2 Sn 2.86-3.08
74 Te 0.8670 0.9507 0.7763  2 Sn 2.86-3.08
75 Te 0.9093 0.1330 0.5836  2 Sn 2.86-3.08
76 Te 0.9093 0.2763 0.3257  2 Sn 2.86-3.08
77 Te 0.9164 0.0493 0.3257  2 Sn 2.86-3.08
78 Te 0.9164 0.3670 0.5907  2 Sn 2.86-3.08
79 Te 0.9507 0.6743 0.0836  2 Sn 2.86-3.08
80 Te 0.9507 0.7763 0.8670  2 Sn 2.86-3.08

The calculation puts the volume at 37.0 A^3/atom. As for the formation energy (no corrections): 0.03 eV per atom. The value obtained for the total energy is -3.476 eV/atom.

=====

(2)
VASP calculation (PBE-GGA) on a relaxed structure of SnPd3Au.

Cell: 4.6160 5.7776 6.8938 Å, 90.00 109.47 90.00°
Closest atoms and distances in Å follow each position.
Sites, in units of the cell vectors:
1 Sn 0.1204 0.2500 0.2419  8 Pd 2.77-2.87, 2 Au 2.89
2 Sn 0.8796 0.7500 0.7581  8 Pd 2.77-2.87, 2 Au 2.89
3 Pd 0.3117 0.0029 0.6237  6 Pd 2.81-2.92, 3 Au 2.86-2.91, 3 Sn 2.86-2.87
4 Pd 0.3117 0.4971 0.6237  6 Pd 2.81-2.92, 3 Au 2.86-2.91, 3 Sn 2.86-2.87
5 Pd 0.4989 0.7500 0.9960  2 Sn 2.77-2.78, 2 Au 2.79, 6 Pd 2.83-2.89
6 Pd 0.5011 0.2500 0.0040  2 Sn 2.77-2.78, 2 Au 2.79, 6 Pd 2.83-2.89
7 Pd 0.6883 0.5029 0.3763  6 Pd 2.81-2.92, 3 Au 2.86-2.91, 3 Sn 2.86-2.87
8 Pd 0.6883 0.9971 0.3763  6 Pd 2.81-2.92, 3 Au 2.86-2.91, 3 Sn 2.86-2.87
9 Au 0.1188 0.7500 0.2364  8 Pd 2.79-2.91, 3 Sn 2.89-3.11
10 Au 0.8812 0.2500 0.7636  8 Pd 2.79-2.91, 3 Sn 2.89-3.11

Its formation energy is -308 meV/atom. The calculation puts the volume at 17.3 A^3/atom. The value obtained for the total energy is -4.880 eV/atom.

=====

(3)
VASP calculation (PBE-GGA) on a relaxed structure of PmSbPbAu.

Cell: 5.3467 5.3467 5.3467 Å, 60.00 60.00 60.00°
Closest atoms and distances in Å follow each position.
Sites, in units of the cell vectors:
1 Pm 0.0000 0.0000 0.0000  4 Sb 3.27, 4 Au 3.27
2 Sb 0.2500 0.2500 0.2500  4 Pb 3.27, 4 Pm 3.27
3 Pb 0.5000 0.5000 0.5000  4 Sb 3.27, 4 Au 3.27
4 Au 0.7500 0.7500 0.7500  4 Pb 3.27, 4 Pm 3.27

The calculation puts the volume at 27.0 A^3/atom. As for the formation energy (no corrections): -0.46 eV per atom. The value obtained for the total energy is -4.424 eV/atom.

=====

(4)
VASP calculation (PBE-GGA) on a relaxed structure of Tb4ErTe2.

Cell: 9.3934 9.3934 9.3934 Å, 33.60 33.60 33.60°
Closest atoms and distances in Å follow each position.
Sites, in units of the cell vectors:
1 Tb 0.1338 0.1338 0.1338  3 Er 3.25, 7 Tb 3.51-3.60
2 Tb 0.2659 0.2659 0.2659  4 Te 3.13-3.17, 1 Tb 3.51
3 Tb 0.7341 0.7341 0.7341  4 Te 3.13-3.17, 1 Tb 3.51
4 Tb 0.8662 0.8662 0.8662  3 Er 3.25, 7 Tb 3.51-3.60
5 Er 0.5000 0.5000 0.5000  2 Te 3.09, 6 Tb 3.25
6 Te 0.3839 0.3839 0.3839  1 Er 3.09, 4 Tb 3.13-3.17
7 Te 0.6161 0.6161 0.6161  1 Er 3.09, 4 Tb 3.13-3.17

The calculation puts the volume at 32.3 A^3/atom. As for the formation energy (no corrections): -0.52 eV per atom. The value obtained for the total energy is -4.714 eV/atom.